# CdPt2 | Alexandria | PBE | optimized geometry
data_CdPt2
_chemical_formula_sum 'Cd2 Pt4'
_cell_length_a 5.225
_cell_length_b 5.225
_cell_length_c 5.225
_cell_angle_alpha 105.38
_cell_angle_beta 105.38
_cell_angle_gamma 118.00
_space_group_name_H-M_alt 'P 1'
_space_group_IT_number 1
loop_
_space_group_symop_operation_xyz
'x,y,z'
loop_
_atom_site_label
_atom_site_type_symbol
_atom_site_fract_x
_atom_site_fract_y
_atom_site_fract_z
Cd1 Cd 0.750 0.750 0.000
Cd2 Cd 0.250 0.250 0.000
Pt1 Pt 0.644 0.144 0.789
Pt2 Pt 0.144 0.356 0.500
Pt3 Pt 0.856 0.644 0.500
Pt4 Pt 0.356 0.856 0.211
# **Total energy**: -12.42 eV/f.u.
# **M_tot**: 0.0 μB per formula unit
# **Fermi-level density of states**: 4.2 states/eV per cell
# **E_form**: 0.57 eV per formula unit


# CdPt4 | Alexandria | PBE | optimized geometry
data_CdPt4
_chemical_formula_sum 'Cd1 Pt4'
_cell_length_a 5.128
_cell_length_b 5.128
_cell_length_c 5.128
_cell_angle_alpha 109.47
_cell_angle_beta 109.47
_cell_angle_gamma 109.47
_space_group_name_H-M_alt 'P 1'
_space_group_IT_number 1
loop_
_space_group_symop_operation_xyz
'x,y,z'
loop_
_atom_site_label
_atom_site_type_symbol
_atom_site_fract_x
_atom_site_fract_y
_atom_site_fract_z
Cd1 Cd 0.000 0.000 0.000
Pt1 Pt 0.500 0.000 0.000
Pt2 Pt 0.500 0.500 0.500
Pt3 Pt 0.000 0.500 0.000
Pt4 Pt 0.000 0.000 0.500
# **Total energy**: -20.98 eV/f.u.
# **M_tot**: 0.0 μB per formula unit
# **Fermi-level density of states**: 7.1 states/eV per cell
# **E_form**: 4.09 eV per formula unit


# CdPt3 | Alexandria | PBE | optimized geometry
data_CdPt3
_chemical_formula_sum 'Cd1 Pt3'
_cell_length_a 2.834
_cell_length_b 4.071
_cell_length_c 5.740
_cell_angle_alpha 90.00
_cell_angle_beta 90.00
_cell_angle_gamma 90.00
_space_group_name_H-M_alt 'P 1'
_space_group_IT_number 1
loop_
_space_group_symop_operation_xyz
'x,y,z'
loop_
_atom_site_label
_atom_site_type_symbol
_atom_site_fract_x
_atom_site_fract_y
_atom_site_fract_z
Pt1 Pt 0.000 0.000 0.500
Pt2 Pt 0.500 0.500 0.259
Pt3 Pt 0.500 0.500 0.741
Cd1 Cd 0.000 0.000 0.000
# **Total energy**: -19.65 eV/f.u.
# **M_tot**: 0.0 μB per formula unit
# **Fermi-level density of states**: 5.2 states/eV per cell
# **E_form**: -0.61 eV per formula unit


# CdPt2 | Alexandria | PBE | optimized geometry
data_CdPt2
_chemical_formula_sum 'Cd2 Pt4'
_cell_length_a 5.360
_cell_length_b 5.360
_cell_length_c 5.360
_cell_angle_alpha 60.00
_cell_angle_beta 60.00
_cell_angle_gamma 60.00
_space_group_name_H-M_alt 'P 1'
_space_group_IT_number 1
loop_
_space_group_symop_operation_xyz
'x,y,z'
loop_
_atom_site_label
_atom_site_type_symbol
_atom_site_fract_x
_atom_site_fract_y
_atom_site_fract_z
Cd1 Cd 0.125 0.125 0.125
Cd2 Cd 0.875 0.875 0.875
Pt1 Pt 0.000 0.500 0.500
Pt2 Pt 0.500 0.000 0.500
Pt3 Pt 0.500 0.500 0.000
Pt4 Pt 0.500 0.500 0.500
# **Total energy**: -13.47 eV/f.u.
# **M_tot**: 0.0 μB per formula unit
# **Fermi-level density of states**: 8.5 states/eV per cell
# **E_form**: -0.47 eV per formula unit


# CdPt3 | Alexandria | PBE | optimized geometry
data_CdPt3
_chemical_formula_sum 'Cd1 Pt3'
_cell_length_a 2.869
_cell_length_b 2.869
_cell_length_c 9.407
_cell_angle_alpha 81.23
_cell_angle_beta 98.77
_cell_angle_gamma 120.00
_space_group_name_H-M_alt 'P 1'
_space_group_IT_number 1
loop_
_space_group_symop_operation_xyz
'x,y,z'
loop_
_atom_site_label
_atom_site_type_symbol
_atom_site_fract_x
_atom_site_fract_y
_atom_site_fract_z
Cd1 Cd 0.000 0.000 0.000
Pt1 Pt 0.751 0.249 0.253
Pt2 Pt 0.500 0.500 0.500
Pt3 Pt 0.249 0.751 0.747
# **Total energy**: -19.35 eV/f.u.
# **M_tot**: 0.0 μB per formula unit
# **Fermi-level density of states**: 6.1 states/eV per cell
# **E_form**: -0.31 eV per formula unit


# Cd2Pt | Alexandria | PBE | optimized geometry
data_Cd2Pt
_chemical_formula_sum 'Cd2 Pt1'
_cell_length_a 6.599
_cell_length_b 6.599
_cell_length_c 6.599
_cell_angle_alpha 153.43
_cell_angle_beta 153.43
_cell_angle_gamma 37.93
_space_group_name_H-M_alt 'P 1'
_space_group_IT_number 1
loop_
_space_group_symop_operation_xyz
'x,y,z'
loop_
_atom_site_label
_atom_site_type_symbol
_atom_site_fract_x
_atom_site_fract_y
_atom_site_fract_z
Pt1 Pt 0.333 0.333 0.000
Cd1 Cd 0.987 0.987 0.000
Cd2 Cd 0.680 0.680 0.000
# **Total energy**: -8.45 eV/f.u.
# **M_tot**: 0.0 μB per formula unit
# **Fermi-level density of states**: 1.2 states/eV per cell
# **E_form**: -0.58 eV per formula unit


# Cd4Pt5 | Alexandria | PBE | optimized geometry
data_Cd4Pt5
_chemical_formula_sum 'Cd8 Pt10'
_cell_length_a 5.626
_cell_length_b 8.089
_cell_length_c 8.089
_cell_angle_alpha 120.00
_cell_angle_beta 90.00
_cell_angle_gamma 90.00
_space_group_name_H-M_alt 'P 1'
_space_group_IT_number 1
loop_
_space_group_symop_operation_xyz
'x,y,z'
loop_
_atom_site_label
_atom_site_type_symbol
_atom_site_fract_x
_atom_site_fract_y
_atom_site_fract_z
Cd1 Cd 0.000 0.000 0.000
Cd2 Cd 0.500 0.000 0.000
Cd3 Cd 0.750 0.355 0.355
Cd4 Cd 0.750 0.000 0.645
Cd5 Cd 0.750 0.645 0.000
Cd6 Cd 0.250 0.645 0.645
Cd7 Cd 0.250 0.000 0.355
Cd8 Cd 0.250 0.355 0.000
Pt1 Pt 0.750 0.685 0.685
Pt2 Pt 0.750 0.000 0.315
Pt3 Pt 0.750 0.315 0.000
Pt4 Pt 0.250 0.315 0.315
Pt5 Pt 0.250 0.000 0.685
Pt6 Pt 0.250 0.685 0.000
Pt7 Pt 0.000 0.667 0.333
Pt8 Pt 0.500 0.333 0.667
Pt9 Pt 0.000 0.333 0.667
Pt10 Pt 0.500 0.667 0.333
# **Total energy**: -35.20 eV/f.u.
# **M_tot**: 0.0 μB per formula unit
# **Fermi-level density of states**: 7.3 states/eV per cell
# **E_form**: -1.33 eV per formula unit


# CdPt2 | Alexandria | PBE | optimized geometry
data_CdPt2
_chemical_formula_sum 'Cd1 Pt2'
_cell_length_a 2.863
_cell_length_b 4.577
_cell_length_c 4.577
_cell_angle_alpha 120.00
_cell_angle_beta 90.00
_cell_angle_gamma 90.00
_space_group_name_H-M_alt 'P 1'
_space_group_IT_number 1
loop_
_space_group_symop_operation_xyz
'x,y,z'
loop_
_atom_site_label
_atom_site_type_symbol
_atom_site_fract_x
_atom_site_fract_y
_atom_site_fract_z
Cd1 Cd 0.500 0.000 0.000
Pt1 Pt 0.000 0.667 0.333
Pt2 Pt 0.000 0.333 0.667
# **Total energy**: -13.45 eV/f.u.
# **M_tot**: 0.0 μB per formula unit
# **Fermi-level density of states**: 2.3 states/eV per cell
# **E_form**: -0.45 eV per formula unit


# Cd2Pt | Alexandria | PBE | optimized geometry
data_Cd2Pt
_chemical_formula_sum 'Cd4 Pt2'
_cell_length_a 5.121
_cell_length_b 5.121
_cell_length_c 4.899
_cell_angle_alpha 90.00
_cell_angle_beta 90.00
_cell_angle_gamma 119.66
_space_group_name_H-M_alt 'P 1'
_space_group_IT_number 1
loop_
_space_group_symop_operation_xyz
'x,y,z'
loop_
_atom_site_label
_atom_site_type_symbol
_atom_site_fract_x
_atom_site_fract_y
_atom_site_fract_z
Cd1 Cd 0.523 0.845 0.250
Cd2 Cd 0.477 0.155 0.750
Cd3 Cd 0.845 0.523 0.250
Cd4 Cd 0.155 0.477 0.750
Pt1 Pt 0.179 0.179 0.250
Pt2 Pt 0.821 0.821 0.750
# **Total energy**: -8.53 eV/f.u.
# **M_tot**: 0.0 μB per formula unit
# **Fermi-level density of states**: 1.7 states/eV per cell
# **E_form**: -0.66 eV per formula unit


# CdPt3 | Alexandria | PBE | optimized geometry
data_CdPt3
_chemical_formula_sum 'Cd1 Pt3'
_cell_length_a 2.834
_cell_length_b 4.827
_cell_length_c 4.855
_cell_angle_alpha 90.00
_cell_angle_beta 90.00
_cell_angle_gamma 90.00
_space_group_name_H-M_alt 'P 1'
_space_group_IT_number 1
loop_
_space_group_symop_operation_xyz
'x,y,z'
loop_
_atom_site_label
_atom_site_type_symbol
_atom_site_fract_x
_atom_site_fract_y
_atom_site_fract_z
Pt1 Pt 0.000 0.500 0.394
Pt2 Pt 0.500 0.000 0.441
Pt3 Pt 0.500 0.500 0.886
Cd1 Cd 0.000 0.000 0.946
# **Total energy**: -19.70 eV/f.u.
# **M_tot**: 0.0 μB per formula unit
# **Fermi-level density of states**: 1.6 states/eV per cell
# **E_form**: -0.67 eV per formula unit


# CdPt2 | Alexandria | PBE | optimized geometry
data_CdPt2
_chemical_formula_sum 'Cd4 Pt8'
_cell_length_a 6.341
_cell_length_b 6.341
_cell_length_c 6.341
_cell_angle_alpha 90.00
_cell_angle_beta 90.00
_cell_angle_gamma 90.00
_space_group_name_H-M_alt 'P 1'
_space_group_IT_number 1
loop_
_space_group_symop_operation_xyz
'x,y,z'
loop_
_atom_site_label
_atom_site_type_symbol
_atom_site_fract_x
_atom_site_fract_y
_atom_site_fract_z
Pt1 Pt 0.116 0.616 0.884
Pt2 Pt 0.116 0.884 0.384
Pt3 Pt 0.384 0.116 0.884
Pt4 Pt 0.384 0.384 0.384
Pt5 Pt 0.616 0.616 0.616
Pt6 Pt 0.616 0.884 0.116
Pt7 Pt 0.884 0.116 0.616
Pt8 Pt 0.884 0.384 0.116
Cd1 Cd 0.000 0.000 0.000
Cd2 Cd 0.000 0.500 0.500
Cd3 Cd 0.500 0.000 0.500
Cd4 Cd 0.500 0.500 0.000
# **Total energy**: -11.28 eV/f.u.
# **M_tot**: 0.0 μB per formula unit
# **Fermi-level density of states**: 5.8 states/eV per cell
# **E_form**: 1.72 eV per formula unit


# CdPt2 | Alexandria | PBE | optimized geometry
data_CdPt2
_chemical_formula_sum 'Cd1 Pt2'
_cell_length_a 3.752
_cell_length_b 3.752
_cell_length_c 4.317
_cell_angle_alpha 90.00
_cell_angle_beta 90.00
_cell_angle_gamma 90.00
_space_group_name_H-M_alt 'P 1'
_space_group_IT_number 1
loop_
_space_group_symop_operation_xyz
'x,y,z'
loop_
_atom_site_label
_atom_site_type_symbol
_atom_site_fract_x
_atom_site_fract_y
_atom_site_fract_z
Pt1 Pt 0.000 0.500 0.500
Pt2 Pt 0.500 0.000 0.500
Cd1 Cd 0.000 0.000 0.000
# **Total energy**: -13.04 eV/f.u.
# **M_tot**: 0.0 μB per formula unit
# **Fermi-level density of states**: 2.1 states/eV per cell
# **E_form**: -0.04 eV per formula unit